This record from Alexandria via LeMat-Bulk describes YZnS2 after structural relaxation. The functional is PBE-GGA.

Values from the calculation:
- ρ: 3.5 g cm⁻³
- Uncorrected formation energy: -1.16 eV per atom

Structure (CIF):
```
data_YZnS2
_symmetry_space_group_name_H-M 'P 1'
_symmetry_Int_Tables_number 1
_cell_length_a 7.990
_cell_length_b 7.990
_cell_length_c 7.990
_cell_angle_alpha 28.80
_cell_angle_beta 28.80
_cell_angle_gamma 28.80
loop_
_symmetry_equiv_pos_as_xyz
'x,y,z'
loop_
_atom_site_label
_atom_site_fract_x
_atom_site_fract_y
_atom_site_fract_z
_atom_site_occupancy
Y1 0.500 0.500 0.500 1
Zn1 0.000 0.000 0.000 1
S1 0.899 0.899 0.899 1
S2 0.101 0.101 0.101 1
```



This record from Alexandria via LeMat-Bulk describes YZn3S after structural relaxation. The functional is PBE-GGA.

Values from the calculation:
- Relative energy among the computed polymorphs: 0 meV/atom
- ρ: 4.9 g cm⁻³
- Uncorrected formation energy: 0.22 eV per atom

Structure (CIF):
```
data_YZn3S
_symmetry_space_group_name_H-M 'P 1'
_symmetry_Int_Tables_number 1
_cell_length_a 4.769
_cell_length_b 4.769
_cell_length_c 4.769
_cell_angle_alpha 90.00
_cell_angle_beta 90.00
_cell_angle_gamma 90.00
loop_
_symmetry_equiv_pos_as_xyz
'x,y,z'
loop_
_atom_site_label
_atom_site_fract_x
_atom_site_fract_y
_atom_site_fract_z
_atom_site_occupancy
Y1 0.500 0.500 0.500 1
Zn1 0.000 0.500 0.000 1
Zn2 0.000 0.000 0.500 1
Zn3 0.500 0.000 0.000 1
S1 0.000 0.000 0.000 1
```



This record from Alexandria via LeMat-Bulk describes Y6Zn2S3 after structural relaxation. The functional is PBE-GGA.

Values from the calculation:
- ρ: 4.7 g cm⁻³
- Uncorrected formation energy: -1.16 eV per atom

Structure (CIF):
```
data_Y6Zn2S3
_symmetry_space_group_name_H-M 'P 1'
_symmetry_Int_Tables_number 1
_cell_length_a 6.739
_cell_length_b 6.728
_cell_length_c 7.217
_cell_angle_alpha 80.93
_cell_angle_beta 71.65
_cell_angle_gamma 59.95
loop_
_symmetry_equiv_pos_as_xyz
'x,y,z'
loop_
_atom_site_label
_atom_site_fract_x
_atom_site_fract_y
_atom_site_fract_z
_atom_site_occupancy
Y1 0.414 0.673 0.763 1
Y2 0.738 0.000 0.771 1
Y3 0.087 0.327 0.763 1
Y4 0.262 0.000 0.229 1
Y5 0.586 0.327 0.237 1
Y6 0.913 0.673 0.237 1
Zn1 0.164 0.673 0.500 1
Zn2 0.836 0.327 0.500 1
S1 0.000 0.000 0.000 1
S2 0.330 0.341 0.000 1
S3 0.670 0.659 0.000 1
```



This record from Alexandria via LeMat-Bulk describes YZnS3 after structural relaxation. The functional is PBE-GGA.

Values from the calculation:
- Relative energy among the computed polymorphs: 0 meV/atom
- ρ: 4.1 g cm⁻³
- Uncorrected formation energy: -0.62 eV per atom

Structure (CIF):
```
data_YZnS3
_symmetry_space_group_name_H-M 'P 1'
_symmetry_Int_Tables_number 1
_cell_length_a 4.648
_cell_length_b 4.648
_cell_length_c 4.648
_cell_angle_alpha 90.00
_cell_angle_beta 90.00
_cell_angle_gamma 90.00
loop_
_symmetry_equiv_pos_as_xyz
'x,y,z'
loop_
_atom_site_label
_atom_site_fract_x
_atom_site_fract_y
_atom_site_fract_z
_atom_site_occupancy
Y1 0.500 0.500 0.500 1
Zn1 0.000 0.000 0.000 1
S1 0.000 0.500 0.000 1
S2 0.000 0.000 0.500 1
S3 0.500 0.000 0.000 1
```



This record from Alexandria via LeMat-Bulk describes YZn3S after structural relaxation. The functional is PBE-GGA.

Values from the calculation:
- Relative energy among the computed polymorphs: 744 meV/atom
- ρ: 3.1 g cm⁻³
- Uncorrected formation energy: 0.96 eV per atom

Structure (CIF):
```
data_YZn3S
_symmetry_space_group_name_H-M 'P 1'
_symmetry_Int_Tables_number 1
_cell_length_a 5.563
_cell_length_b 5.563
_cell_length_c 5.563
_cell_angle_alpha 90.00
_cell_angle_beta 90.00
_cell_angle_gamma 90.00
loop_
_symmetry_equiv_pos_as_xyz
'x,y,z'
loop_
_atom_site_label
_atom_site_fract_x
_atom_site_fract_y
_atom_site_fract_z
_atom_site_occupancy
Y1 0.000 0.000 0.000 1
Zn1 0.000 0.500 0.000 1
Zn2 0.000 0.000 0.500 1
Zn3 0.500 0.000 0.000 1
S1 0.500 0.500 0.500 1
```



This record from Alexandria via LeMat-Bulk describes Y2ZnS4 after structural relaxation. The functional is PBE-GGA.

Values from the calculation:
- Relative energy among the computed polymorphs: 0 meV/atom
- ρ: 3.6 g cm⁻³
- Uncorrected formation energy: -1.70 eV per atom

Structure (CIF):
```
data_Y2ZnS4
_symmetry_space_group_name_H-M 'P 1'
_symmetry_Int_Tables_number 1
_cell_length_a 6.344
_cell_length_b 7.927
_cell_length_c 13.578
_cell_angle_alpha 90.00
_cell_angle_beta 90.00
_cell_angle_gamma 90.00
loop_
_symmetry_equiv_pos_as_xyz
'x,y,z'
loop_
_atom_site_label
_atom_site_fract_x
_atom_site_fract_y
_atom_site_fract_z
_atom_site_occupancy
Y1 0.000 0.500 0.000 1
Y2 0.500 0.000 0.500 1
Y3 0.000 0.000 0.000 1
Y4 0.500 0.500 0.500 1
Y5 0.004 0.750 0.266 1
Y6 0.496 0.750 0.766 1
Y7 0.996 0.250 0.734 1
Y8 0.504 0.250 0.234 1
Zn1 0.588 0.750 0.092 1
Zn2 0.912 0.750 0.592 1
Zn3 0.412 0.250 0.908 1
Zn4 0.088 0.250 0.408 1
S1 0.225 0.750 0.091 1
S2 0.275 0.750 0.591 1
S3 0.775 0.250 0.909 1
S4 0.725 0.250 0.409 1
S5 0.757 0.750 0.431 1
S6 0.743 0.750 0.931 1
S7 0.243 0.250 0.569 1
S8 0.257 0.250 0.069 1
S9 0.755 0.515 0.168 1
S10 0.745 0.985 0.668 1
S11 0.245 0.015 0.832 1
S12 0.255 0.485 0.332 1
S13 0.245 0.485 0.832 1
S14 0.255 0.015 0.332 1
S15 0.755 0.985 0.168 1
S16 0.745 0.515 0.668 1
```



This record from Alexandria via LeMat-Bulk describes YZrS after structural relaxation. The functional is PBE-GGA.

Values from the calculation:
- Relative energy among the computed polymorphs: 695 meV/atom
- ρ: 5.1 g cm⁻³
- Uncorrected formation energy: -0.58 eV per atom

Structure (CIF):
```
data_YZrS
_symmetry_space_group_name_H-M 'P 1'
_symmetry_Int_Tables_number 1
_cell_length_a 4.073
_cell_length_b 4.418
_cell_length_c 4.418
_cell_angle_alpha 120.00
_cell_angle_beta 90.00
_cell_angle_gamma 90.00
loop_
_symmetry_equiv_pos_as_xyz
'x,y,z'
loop_
_atom_site_label
_atom_site_fract_x
_atom_site_fract_y
_atom_site_fract_z
_atom_site_occupancy
Y1 0.666 0.667 0.333 1
S1 0.167 0.000 0.000 1
Zr1 0.167 0.333 0.667 1
```



This record from Alexandria via LeMat-Bulk describes YZr2S4 after structural relaxation. The functional is PBE-GGA.

Values from the calculation:
- ρ: 4.6 g cm⁻³
- Uncorrected formation energy: -1.67 eV per atom

Structure (CIF):
```
data_YZr2S4
_symmetry_space_group_name_H-M 'P 1'
_symmetry_Int_Tables_number 1
_cell_length_a 3.637
_cell_length_b 6.273
_cell_length_c 13.124
_cell_angle_alpha 90.00
_cell_angle_beta 90.00
_cell_angle_gamma 106.85
loop_
_symmetry_equiv_pos_as_xyz
'x,y,z'
loop_
_atom_site_label
_atom_site_fract_x
_atom_site_fract_y
_atom_site_fract_z
_atom_site_occupancy
Y1 0.611 0.223 0.750 1
Y2 0.389 0.777 0.250 1
Zr1 0.144 0.289 0.440 1
Zr2 0.856 0.711 0.940 1
Zr3 0.144 0.289 0.060 1
Zr4 0.856 0.711 0.560 1
S1 0.783 0.566 0.125 1
S2 0.783 0.566 0.375 1
S3 0.217 0.434 0.875 1
S4 0.217 0.434 0.625 1
S5 0.945 0.890 0.750 1
S6 0.055 0.110 0.250 1
S7 0.500 0.000 0.000 1
S8 0.500 0.000 0.500 1
```



Copy entry 6 word for word.
This record from Alexandria via LeMat-Bulk describes Y2ZnS4 after structural relaxation. The functional is PBE-GGA.

Values from the calculation:
- Relative energy among the computed polymorphs: 0 meV/atom
- ρ: 3.6 g cm⁻³
- Uncorrected formation energy: -1.70 eV per atom

Structure (CIF):
```
data_Y2ZnS4
_symmetry_space_group_name_H-M 'P 1'
_symmetry_Int_Tables_number 1
_cell_length_a 6.344
_cell_length_b 7.927
_cell_length_c 13.578
_cell_angle_alpha 90.00
_cell_angle_beta 90.00
_cell_angle_gamma 90.00
loop_
_symmetry_equiv_pos_as_xyz
'x,y,z'
loop_
_atom_site_label
_atom_site_fract_x
_atom_site_fract_y
_atom_site_fract_z
_atom_site_occupancy
Y1 0.000 0.500 0.000 1
Y2 0.500 0.000 0.500 1
Y3 0.000 0.000 0.000 1
Y4 0.500 0.500 0.500 1
Y5 0.004 0.750 0.266 1
Y6 0.496 0.750 0.766 1
Y7 0.996 0.250 0.734 1
Y8 0.504 0.250 0.234 1
Zn1 0.588 0.750 0.092 1
Zn2 0.912 0.750 0.592 1
Zn3 0.412 0.250 0.908 1
Zn4 0.088 0.250 0.408 1
S1 0.225 0.750 0.091 1
S2 0.275 0.750 0.591 1
S3 0.775 0.250 0.909 1
S4 0.725 0.250 0.409 1
S5 0.757 0.750 0.431 1
S6 0.743 0.750 0.931 1
S7 0.243 0.250 0.569 1
S8 0.257 0.250 0.069 1
S9 0.755 0.515 0.168 1
S10 0.745 0.985 0.668 1
S11 0.245 0.015 0.832 1
S12 0.255 0.485 0.332 1
S13 0.245 0.485 0.832 1
S14 0.255 0.015 0.332 1
S15 0.755 0.985 0.168 1
S16 0.745 0.515 0.668 1
```



- Which formula does entry 6 have?
  Y2ZnS4



- Which formula does entry 6 have?
  Y2ZnS4